# 1
Density functional theory data (GGA-PBE) for Sc2Si2AgAu after structural relaxation. Values from VASP.

Structure (Quantum ESPRESSO input):
```
&SYSTEM
  ibrav = 0, nat = 24, ntyp = 4
/
ATOMIC_SPECIES
Sc 44.96 Sc.upf
Si 28.09 Si.upf
Ag 107.87 Ag.upf
Au 196.97 Au.upf
CELL_PARAMETERS angstrom
7.5790 0.0000 0.0000
0.0000 4.3749 0.0000
-2.5232 0.0000 14.2904
ATOMIC_POSITIONS crystal
Sc 0.0000 0.0000 0.0000
Sc 0.9999 0.5000 0.4996
Sc 0.2491 0.0000 0.7493
Sc 0.2493 0.5000 0.2493
Sc 0.4995 0.0000 0.4996
Sc 0.4997 0.5000 0.0001
Sc 0.7499 0.0000 0.2491
Sc 0.7501 0.5000 0.7490
Si 0.1245 0.0000 0.3745
Si 0.1247 0.5000 0.8747
Si 0.3748 0.0000 0.1247
Si 0.3749 0.5000 0.6246
Si 0.6248 0.0000 0.8745
Si 0.6249 0.5000 0.3744
Si 0.8745 0.0000 0.6243
Si 0.8747 0.5000 0.1245
Ag 0.0623 0.0000 0.1871
Ag 0.0624 0.5000 0.6870
Ag 0.3125 0.5000 0.4370
Ag 0.5622 0.5000 0.1874
Au 0.3125 0.0000 0.9365
Au 0.5622 0.0000 0.6875
Au 0.8116 0.0000 0.4369
Au 0.8115 0.5000 0.9364
```

Its calculated total energy is -129.795 eV for the cell shown. Its spin magnetization is 0.00 μB per cell.



# 2
Density functional theory data (GGA-PBE) for Hf2TcIr after structural relaxation. Values from VASP.

Structure (Quantum ESPRESSO input):
```
&SYSTEM
  ibrav = 0, nat = 16, ntyp = 3
/
ATOMIC_SPECIES
Hf 178.49 Hf.upf
Tc 98.00 Tc.upf
Ir 192.22 Ir.upf
CELL_PARAMETERS angstrom
6.4954 0.0000 0.0000
0.0000 6.4954 0.0000
0.0000 0.0000 6.4954
ATOMIC_POSITIONS crystal
Hf 0.0000 0.0000 0.0000
Hf 0.0000 0.5000 0.5000
Hf 0.2500 0.2500 0.2500
Hf 0.2500 0.7500 0.7500
Hf 0.5000 0.0000 0.5000
Hf 0.5000 0.5000 0.0000
Hf 0.7500 0.2500 0.7500
Hf 0.7500 0.7500 0.2500
Tc 0.0000 0.0000 0.5000
Tc 0.0000 0.5000 0.0000
Tc 0.5000 0.0000 0.0000
Tc 0.5000 0.5000 0.5000
Ir 0.2500 0.2500 0.7500
Ir 0.2500 0.7500 0.2500
Ir 0.7500 0.2500 0.2500
Ir 0.7500 0.7500 0.7500
```

Its calculated total energy is -160.215 eV for the cell shown. As for the formation energy: -0.23 eV per atom. Its spin magnetization is 0.03 μB per cell.



# 3
Density functional theory data (GGA-PBE) for CuBiSbF after structural relaxation. Values from VASP.

Structure (Quantum ESPRESSO input):
```
&SYSTEM
  ibrav = 0, nat = 8, ntyp = 4
/
ATOMIC_SPECIES
Cu 63.55 Cu.upf
Bi 208.98 Bi.upf
Sb 121.76 Sb.upf
F 19.00 F.upf
CELL_PARAMETERS angstrom
3.7914 0.0000 0.0000
0.0000 3.7914 0.0000
0.0000 0.0000 10.9568
ATOMIC_POSITIONS crystal
Cu 0.2500 0.2500 0.2071
Cu 0.7500 0.7500 0.7929
Bi 0.2500 0.2500 0.6584
Bi 0.7500 0.7500 0.3416
Sb 0.2500 0.2500 0.9386
Sb 0.7500 0.7500 0.0614
F 0.2500 0.7500 0.5000
F 0.7500 0.2500 0.5000
```

Its calculated total energy is -31.195 eV for the cell shown. Its offset from the most stable computed form is 158.2 meV/atom.



# 4
Density functional theory data (GGA-PBE) for YTa2 after structural relaxation. Values from VASP.

Structure (Quantum ESPRESSO input):
```
&SYSTEM
  ibrav = 0, nat = 6, ntyp = 2
/
ATOMIC_SPECIES
Y 88.91 Y.upf
Ta 180.95 Ta.upf
CELL_PARAMETERS angstrom
0.0000 4.0557 4.0557
4.0557 0.0000 4.0557
4.0557 4.0557 0.0000
ATOMIC_POSITIONS crystal
Y 0.1250 0.1250 0.1250
Y 0.8750 0.8750 0.8750
Ta 0.0000 0.5000 0.5000
Ta 0.5000 0.0000 0.5000
Ta 0.5000 0.5000 0.0000
Ta 0.5000 0.5000 0.5000
```

Its calculated total energy is -58.735 eV for the cell shown. Its offset from the most stable computed form is 0.0 meV/atom. As for the formation energy: 0.27 eV per atom. Its spin magnetization is 0.25 μB per cell.